No. 1
An optimized crystal structure of Na4Zr2Ge5O17, computed with GGA-PBEsol.

Lattice parameters (Å, degrees): 5.4543 7.0221 20.3534 92.35 90.00 90.00
Site moments in Bohr magnetons follow the coordinates.
Positions (direct):
Na: 0.0087 0.4511 0.7087  0.00
Na: 0.0087 0.0489 0.7913  0.00
Na: 0.9913 0.5489 0.2913  0.00
Na: 0.9913 0.9511 0.2087  0.00
Na: 0.7594 0.1386 0.5266  0.00
Na: 0.7594 0.3614 0.9734  0.00
Na: 0.2406 0.8614 0.4734  0.00
Na: 0.2406 0.6386 0.0266  0.00
Zr: 0.7658 0.7031 0.5891  0.00
Zr: 0.7658 0.7969 0.9109  0.00
Zr: 0.2342 0.2969 0.4109  0.00
Zr: 0.2342 0.2031 0.0891  0.00
Ge: 0.2901 0.3870 0.5765  0.00
Ge: 0.2901 0.1130 0.9235  0.00
Ge: 0.7099 0.6130 0.4235  0.00
Ge: 0.7099 0.8870 0.0765  0.00
Ge: 0.2547 0.5117 0.8649  0.00
Ge: 0.2547 0.9883 0.6351  0.00
Ge: 0.7453 0.4883 0.1351  0.00
Ge: 0.7453 0.0117 0.3649  0.00
Ge: 0.4969 0.7500 0.7500  0.00
Ge: 0.5031 0.2500 0.2500  0.00
O: 0.0965 0.5707 0.6044  0.01
O: 0.0965 0.9293 0.8956  0.01
O: 0.9035 0.4293 0.3956  0.01
O: 0.9035 0.0707 0.1044  0.01
O: 0.5959 0.4458 0.5627  0.02
O: 0.5959 0.0542 0.9373  0.02
O: 0.4041 0.5542 0.4373  0.02
O: 0.4041 0.9458 0.0627  0.02
O: 0.6744 0.6484 0.6873  0.05
O: 0.6744 0.8516 0.8127  0.05
O: 0.3256 0.3516 0.3127  0.05
O: 0.3256 0.1484 0.1873  0.05
O: 0.1687 0.2510 0.5100  0.00
O: 0.1687 0.2490 0.9900  0.00
O: 0.8313 0.7490 0.4900  0.00
O: 0.8313 0.7510 0.0100  0.00
O: 0.9514 0.5435 0.8884  0.02
O: 0.9514 0.9565 0.6116  0.02
O: 0.0486 0.4565 0.1116  0.02
O: 0.0486 0.0435 0.3884  0.02
O: 0.4664 0.6095 0.9206  0.00
O: 0.4664 0.8905 0.5794  0.00
O: 0.5336 0.3905 0.0794  0.00
O: 0.5336 0.1095 0.4206  0.00
O: 0.2893 0.2398 0.6470  0.04
O: 0.2893 0.2602 0.8530  0.04
O: 0.7107 0.7602 0.3530  0.04
O: 0.7107 0.7398 0.1470  0.04
O: 0.2889 0.5822 0.7821  0.01
O: 0.2889 0.9178 0.7179  0.01
O: 0.7111 0.4178 0.2179  0.01
O: 0.7111 0.0822 0.2821  0.01
O: 0.6521 0.2500 0.7500  1.36
O: 0.3479 0.7500 0.2500  1.36

Values from the calculation:
crystal system = monoclinic
raw formation energy = -1.958 eV/atom
magnetic moment = 4.10 μB per cell
final energy = -6.877 eV/atom

=====

No. 2
An optimized crystal structure of TePtPb2, computed with GGA-PBEsol.

Lattice parameters (Å, degrees): 3.5044 5.3218 6.3150 114.92 106.11 90.00
Positions (direct):
Pb: 0.0031 0.0031 0.0063
Pb: 0.7995 0.2995 0.5989
Pt: 0.5047 0.5047 0.0094
Te: 0.1927 0.6927 0.3854

Values from the calculation:
crystal system = orthorhombic
raw formation energy = -0.051 eV/atom
magnetic moment = 0.00 μB per cell
final energy = -4.673 eV/atom

=====

No. 3
An optimized crystal structure of ZrMnCu2, computed with GGA-PBEsol.

Lattice parameters (Å, degrees): 3.7127 3.7127 4.7732 112.89 112.89 90.00
Site moments in Bohr magnetons follow the coordinates.
Positions (direct):
Cu: 0.7500 0.2500 0.5000  0.01
Cu: 0.2500 0.7500 0.5000  0.01
Mn: 0.0000 0.0000 0.0000  2.23
Zr: 0.5000 0.5000 0.0000  -0.30

Values from the calculation:
crystal system = tetragonal
magnetic moment = 1.88 μB per cell
final energy = -6.862 eV/atom
energy of formation from the pure elements = 18 meV per atom

=====

No. 4
An optimized crystal structure of Ca3In2Ga4, computed with GGA-PBEsol.

Lattice parameters (Å, degrees): 4.5956 4.5956 22.0015 90.00 90.00 120.00
Positions (direct):
Ca: 0.6667 0.3333 0.7426
Ca: 0.6667 0.3333 0.4126
Ca: 0.6667 0.3333 0.0831
Ca: 0.6667 0.3333 0.9220
Ca: 0.6667 0.3333 0.5817
Ca: 0.6667 0.3333 0.2520
In: 0.0000 0.0000 0.8135
In: 0.0000 0.0000 0.4858
In: 0.0000 0.0000 0.1560
In: 0.3333 0.6667 0.8510
Ga: 0.3333 0.6667 0.5177
Ga: 0.3333 0.6667 0.1878
Ga: 0.3333 0.6667 0.9888
Ga: 0.3333 0.6667 0.6477
Ga: 0.3333 0.6667 0.3180
Ga: 0.0000 0.0000 0.6760
Ga: 0.0000 0.0000 0.3467
Ga: 0.0000 0.0000 0.0171

Values from the calculation:
crystal system = trigonal
magnetic moment = 0.00 μB per cell
final energy = -3.367 eV/atom
energy of formation from the pure elements = -509 meV per atom